# Ni2RuCl meta-GGA SCAN single point on PBEsol structure
data_Ni2RuCl
_chemical_formula_sum 'Ni2 Ru1 Cl1'
_symmetry_space_group_name_H-M 'P 1'
_symmetry_Int_Tables_number 1
_cell_length_a 2.7270
_cell_length_b 2.7270
_cell_length_c 6.7678
_cell_angle_alpha 90.00
_cell_angle_beta 90.00
_cell_angle_gamma 90.00
loop_
_symmetry_equiv_pos_as_xyz
'x,y,z'
loop_
_atom_site_label
_atom_site_type_symbol
_atom_site_fract_x
_atom_site_fract_y
_atom_site_fract_z
Cl1 Cl 0.5000 0.5000 0.5000
Ni1 Ni 0.0000 0.0000 0.7544
Ni2 Ni 0.0000 0.0000 0.2456
Ru1 Ru 0.5000 0.5000 0.0000
# - Crystal system: tetragonal
# - Formation energy without anion corrections: 1.7 eV per formula unit
# - Symmetry: P4/mmm, No. 123
# - Polymorph energy (0 for the lowest one): 0 meV/atom

# Ca2ReW meta-GGA SCAN single point on PBEsol structure
data_Ca2ReW
_chemical_formula_sum 'Ca2 Re1 W1'
_symmetry_space_group_name_H-M 'P 1'
_symmetry_Int_Tables_number 1
_cell_length_a 3.1982
_cell_length_b 4.3865
_cell_length_c 7.6588
_cell_angle_alpha 94.33
_cell_angle_beta 90.00
_cell_angle_gamma 111.38
loop_
_symmetry_equiv_pos_as_xyz
'x,y,z'
loop_
_atom_site_label
_atom_site_type_symbol
_atom_site_fract_x
_atom_site_fract_y
_atom_site_fract_z
Re1 Re 0.4864 0.9729 0.4324
Ca1 Ca 0.0138 0.0277 0.0696
Ca2 Ca 0.2327 0.4654 0.6781
W1 W 0.7670 0.5341 0.3200
# - Crystal system: monoclinic
# - Symmetry: Cm, No. 8
# - Polymorph energy (0 for the lowest one): 0 meV/atom
# - Energy of formation: 563 meV per atom

# SrTe2Rh meta-GGA SCAN single point on PBEsol structure
data_SrTe2Rh
_chemical_formula_sum 'Sr1 Te2 Rh1'
_symmetry_space_group_name_H-M 'P 1'
_symmetry_Int_Tables_number 1
_cell_length_a 3.9676
_cell_length_b 5.7622
_cell_length_c 5.7622
_cell_angle_alpha 63.07
_cell_angle_beta 69.86
_cell_angle_gamma 69.86
loop_
_symmetry_equiv_pos_as_xyz
'x,y,z'
loop_
_atom_site_label
_atom_site_type_symbol
_atom_site_fract_x
_atom_site_fract_y
_atom_site_fract_z
Sr1 Sr 0.0000 0.5000 0.5000
Te1 Te 0.1861 0.8139 0.8139
Te2 Te 0.8139 0.1861 0.1861
Rh1 Rh 0.5000 0.0000 0.0000
# - Crystal system: orthorhombic
# - Formation energy without anion corrections: -3.2 eV per formula unit
# - Symmetry: Immm, No. 71
# - Polymorph energy (0 for the lowest one): 88 meV/atom

# CoTc2Br meta-GGA SCAN single point on PBEsol structure
data_CoTc2Br
_chemical_formula_sum 'Co1 Tc2 Br1'
_symmetry_space_group_name_H-M 'P 1'
_symmetry_Int_Tables_number 1
_cell_length_a 2.8493
_cell_length_b 4.3983
_cell_length_c 4.5052
_cell_angle_alpha 90.00
_cell_angle_beta 90.00
_cell_angle_gamma 90.00
loop_
_symmetry_equiv_pos_as_xyz
'x,y,z'
loop_
_atom_site_label
_atom_site_type_symbol
_atom_site_fract_x
_atom_site_fract_y
_atom_site_fract_z
Co1 Co 0.0000 0.5000 0.5000
Tc1 Tc 0.0000 0.0000 0.0000
Tc2 Tc 0.5000 0.5000 0.0000
Br1 Br 0.5000 0.0000 0.5000
# - Crystal system: orthorhombic
# - Formation energy without anion corrections: 4.2 eV per formula unit
# - Symmetry: Pmmm, No. 47
# - Polymorph energy (0 for the lowest one): 328 meV/atom

# MgCd2Cu2 meta-GGA SCAN single point on PBEsol structure
data_MgCd2Cu2
_chemical_formula_sum 'Mg1 Cd2 Cu2'
_symmetry_space_group_name_H-M 'P 1'
_symmetry_Int_Tables_number 1
_cell_length_a 3.9487
_cell_length_b 3.9487
_cell_length_c 6.5146
_cell_angle_alpha 107.64
_cell_angle_beta 107.64
_cell_angle_gamma 90.00
loop_
_symmetry_equiv_pos_as_xyz
'x,y,z'
loop_
_atom_site_label
_atom_site_type_symbol
_atom_site_fract_x
_atom_site_fract_y
_atom_site_fract_z
Mg1 Mg 0.0000 0.0000 0.0000
Cu1 Cu 0.4034 0.4034 0.8069
Cu2 Cu 0.5966 0.5966 0.1931
Cd1 Cd 0.2500 0.7500 0.5000
Cd2 Cd 0.7500 0.2500 0.5000
# - Crystal system: tetragonal
# - Symmetry: I4/mmm, No. 139
# - Polymorph energy (0 for the lowest one): 178 meV/atom
# - Energy of formation: 152 meV per atom

# LiYTi2N meta-GGA SCAN single point on PBEsol structure
data_LiYTi2N
_chemical_formula_sum 'Li1 Y1 Ti2 N1'
_symmetry_space_group_name_H-M 'P 1'
_symmetry_Int_Tables_number 1
_cell_length_a 4.1243
_cell_length_b 4.7033
_cell_length_c 4.7033
_cell_angle_alpha 90.00
_cell_angle_beta 90.00
_cell_angle_gamma 90.00
loop_
_symmetry_equiv_pos_as_xyz
'x,y,z'
loop_
_atom_site_label
_atom_site_type_symbol
_atom_site_fract_x
_atom_site_fract_y
_atom_site_fract_z
Y1 Y 0.0000 0.0000 0.0000
N1 N 0.5000 0.5000 0.5000
Li1 Li 0.5000 0.0000 0.0000
Ti1 Ti 0.0000 0.0000 0.5000
Ti2 Ti 0.0000 0.5000 0.0000
# - Crystal system: tetragonal
# - Formation energy without anion corrections: 12.3 eV per formula unit
# - Symmetry: P4/mmm, No. 123

# AgSb2Br meta-GGA SCAN single point on PBEsol structure
data_AgSb2Br
_chemical_formula_sum 'Ag1 Sb2 Br1'
_symmetry_space_group_name_H-M 'P 1'
_symmetry_Int_Tables_number 1
_cell_length_a 4.0907
_cell_length_b 4.0907
_cell_length_c 7.8593
_cell_angle_alpha 74.92
_cell_angle_beta 74.92
_cell_angle_gamma 60.00
loop_
_symmetry_equiv_pos_as_xyz
'x,y,z'
loop_
_atom_site_label
_atom_site_type_symbol
_atom_site_fract_x
_atom_site_fract_y
_atom_site_fract_z
Sb1 Sb 0.0126 0.0126 0.9623
Sb2 Sb 0.7541 0.7541 0.7377
Ag1 Ag 0.5029 0.5029 0.4912
Br1 Br 0.2304 0.2304 0.3088
# - Crystal system: trigonal
# - Formation energy without anion corrections: -0.6 eV per formula unit
# - Symmetry: R3m, No. 160
# - Polymorph energy (0 for the lowest one): 0 meV/atom

# KTa2Ni meta-GGA SCAN single point on PBEsol structure
data_KTa2Ni
_chemical_formula_sum 'K1 Ta2 Ni1'
_symmetry_space_group_name_H-M 'P 1'
_symmetry_Int_Tables_number 1
_cell_length_a 2.7772
_cell_length_b 3.6806
_cell_length_c 8.5977
_cell_angle_alpha 90.00
_cell_angle_beta 95.22
_cell_angle_gamma 90.00
loop_
_symmetry_equiv_pos_as_xyz
'x,y,z'
loop_
_atom_site_label
_atom_site_type_symbol
_atom_site_fract_x
_atom_site_fract_y
_atom_site_fract_z
K1 K 0.5000 0.5000 0.0000
Ni1 Ni 0.5000 0.5000 0.5000
Ta1 Ta 0.9608 0.0000 0.6469
Ta2 Ta 0.0392 0.0000 0.3531
# - Crystal system: monoclinic
# - Symmetry: P2/m, No. 10
# - Polymorph energy (0 for the lowest one): 185 meV/atom
# - Energy of formation: 712 meV per atom